Run A
A relaxed MgSc2Tl crystal, computed with GGA-PBE.

Cell lengths 5.051, 5.051, 5.051 Å; angles 60.00, 60.00, 60.00 degrees
Element x y z (fractional)
Sc 0.250 0.250 0.250
Sc 0.750 0.750 0.750
Mg 0.000 0.000 0.000
Tl 0.500 0.500 0.500

**Symmetry**: Fm-3m (225)
**M_tot**: 0.00 μB per atom
**Mass density**: 5.81 g cm⁻³



Run B
A relaxed MgSc2Tl crystal, computed with GGA-PBE.

Cell lengths 4.611, 4.611, 4.270 Å; angles 90.00, 90.00, 89.99 degrees
Last column: magnetic moment on the atom in μB.
Element x y z (fractional)
Sc 0.000 0.000 0.000  0.16
Sc 0.500 0.500 0.000  0.16
Tl 0.500 0.000 0.500  -0.01
Mg 0.000 0.500 0.500  0.00

**Symmetry**: P4/mmm (123)
**M_tot**: 0.11 μB per atom
**Mass density**: 5.83 g cm⁻³



Run C
A relaxed MgSc2Tl crystal, computed with GGA-PBE.

Cell lengths 5.366, 5.366, 5.732 Å; angles 79.31, 79.31, 36.62 degrees
Element x y z (fractional)
Tl 0.750 0.750 0.750
Sc 0.497 0.497 0.501
Sc 0.003 0.003 0.999
Mg 0.250 0.250 0.250

**Symmetry**: C2/m (12)
**M_tot**: 0.00 μB per atom
**Mass density**: 5.48 g cm⁻³



Run D
A relaxed MgSc2Tl crystal, computed with GGA-PBE.

Cell lengths 11.299, 11.299, 11.299 Å; angles 16.86, 16.86, 16.86 degrees
Element x y z (fractional)
Sc 0.091 0.091 0.091
Sc 0.909 0.909 0.909
Tl 0.000 0.000 0.000
Mg 0.500 0.500 0.500

**Symmetry**: R-3m (166)
**M_tot**: 0.00 μB per atom
**Mass density**: 5.00 g cm⁻³



Decreasing stability: run B, run A, run C, run D



Run A
A relaxed MgSc3Tl crystal, computed with GGA-PBE.

Cell lengths 10.855, 10.855, 4.681 Å; angles 90.00, 90.00, 155.10 degrees
Last column: magnetic moment on the atom in μB.
Element x y z (fractional)
Sc 0.950 0.050 0.250  -0.03
Sc 0.554 0.446 0.250  -0.03
Sc 0.446 0.554 0.750  -0.03
Sc 0.250 0.750 0.750  0.16
Sc 0.750 0.250 0.250  0.16
Sc 0.050 0.950 0.750  -0.03
Tl 0.347 0.653 0.250  0.00
Tl 0.653 0.347 0.750  0.00
Mg 0.150 0.850 0.250  0.00
Mg 0.850 0.150 0.750  0.00

**Symmetry**: Cmcm (63)
**M_tot**: 0.03 μB per atom
**Mass density**: 5.20 g cm⁻³



Run B
A relaxed MgSc3Tl crystal, computed with GGA-PBE.

Cell lengths 6.165, 8.753, 9.151 Å; angles 90.00, 90.00, 90.00 degrees
Element x y z (fractional)
Sc 0.096 0.827 0.562
Sc 0.596 0.673 0.938
Sc 0.262 0.644 0.250
Sc 0.238 0.144 0.750
Sc 0.404 0.327 0.438
Sc 0.596 0.673 0.562
Sc 0.404 0.327 0.062
Sc 0.762 0.856 0.250
Sc 0.096 0.827 0.938
Sc 0.904 0.173 0.438
Sc 0.904 0.173 0.062
Sc 0.738 0.356 0.750
Tl 0.500 0.000 0.500
Tl 0.000 0.500 0.500
Tl 0.500 0.000 0.000
Tl 0.000 0.500 0.000
Mg 0.769 0.995 0.750
Mg 0.269 0.505 0.750
Mg 0.231 0.005 0.250
Mg 0.731 0.495 0.250

**Symmetry**: Pnma (62)
**M_tot**: 0.00 μB per atom
**Mass density**: 4.89 g cm⁻³



Decreasing stability: run A, run B



Run A
A relaxed MgSc6Tl crystal, computed with GGA-PBE.

Cell lengths 4.534, 4.534, 9.194 Å; angles 90.00, 90.00, 90.00 degrees
Last column: magnetic moment on the atom in μB.
Element x y z (fractional)
Sc 0.000 0.500 0.753  0.31
Sc 0.500 0.000 0.247  0.31
Sc 0.500 0.000 0.753  0.31
Sc 0.000 0.500 0.247  0.31
Sc 0.500 0.500 0.500  0.22
Sc 0.500 0.500 0.000  0.37
Tl 0.000 0.000 0.000  -0.02
Mg 0.000 0.000 0.500  -0.01

**Symmetry**: P4/mmm (123)
**M_tot**: 0.34 μB per atom
**Mass density**: 4.38 g cm⁻³



Run B
A relaxed MgSc6Tl crystal, computed with GGA-PBE.

Cell lengths 5.149, 5.149, 8.583 Å; angles 77.20, 77.20, 74.27 degrees
Element x y z (fractional)
Sc 0.642 0.642 0.059
Sc 0.059 0.548 0.297
Sc 0.548 0.059 0.297
Sc 0.941 0.452 0.703
Sc 0.452 0.941 0.703
Sc 0.358 0.358 0.941
Tl 0.500 0.500 0.500
Mg 0.000 0.000 0.000

**Symmetry**: C2/m (12)
**M_tot**: 0.00 μB per atom
**Mass density**: 3.93 g cm⁻³



Decreasing stability: run A, run B



Run A
A relaxed Mg3ScTl crystal, computed with GGA-PBE.

Cell lengths 5.709, 5.709, 5.709 Å; angles 90.00, 90.00, 90.00 degrees
Last column: magnetic moment on the atom in μB.
Element x y z (fractional)
Sc 0.000 0.000 0.000  0.15
Tl 0.500 0.500 0.500  0.01
Mg 0.000 0.000 0.500  0.00
Mg 0.500 0.000 0.000  0.01
Mg 0.000 0.500 0.000  0.01

**Symmetry**: Pm-3m (221)
**M_tot**: 0.09 μB per atom
**Mass density**: 2.88 g cm⁻³



Run B
A relaxed Mg3ScTl crystal, computed with GGA-PBE.

Cell lengths 7.243, 6.784, 8.582 Å; angles 71.31, 114.96, 139.41 degrees
Element x y z (fractional)
Mg 0.516 0.080 0.650
Mg 0.000 0.000 0.000
Mg 0.000 0.500 0.000
Mg 0.134 0.420 0.650
Mg 0.866 0.580 0.350
Mg 0.484 0.920 0.350
Tl 0.433 0.250 0.867
Tl 0.567 0.750 0.133
Sc 0.820 0.750 0.640
Sc 0.180 0.250 0.360

**Symmetry**: C2/c (15)
**M_tot**: 0.00 μB per atom
**Mass density**: 4.30 g cm⁻³



Run C
A relaxed Mg3ScTl crystal, computed with GGA-PBE.

Cell lengths 3.274, 4.909, 15.657 Å; angles 99.02, 90.00, 90.00 degrees
Element x y z (fractional)
Mg 0.500 0.452 0.903
Mg 0.000 0.923 0.846
Mg 0.000 0.271 0.541
Mg 0.500 0.548 0.097
Mg 0.000 0.077 0.154
Mg 0.000 0.729 0.459
Sc 0.500 0.176 0.352
Sc 0.500 0.824 0.648
Tl 0.000 0.363 0.727
Tl 0.000 0.637 0.273

**Symmetry**: Cmmm (65)
**M_tot**: 0.00 μB per atom
**Mass density**: 4.31 g cm⁻³



Run D
A relaxed Mg3ScTl crystal, computed with GGA-PBE.

Cell lengths 5.281, 5.281, 5.281 Å; angles 90.00, 90.00, 90.00 degrees
Element x y z (fractional)
Mg 0.500 0.000 0.000
Mg 0.000 0.500 0.000
Mg 0.000 0.000 0.500
Tl 0.000 0.000 0.000
Sc 0.500 0.500 0.500

**Symmetry**: Pm-3m (221)
**M_tot**: 0.00 μB per atom
**Mass density**: 3.63 g cm⁻³



Decreasing stability: run C, run B, run D, run A



Run A
A relaxed TmMgSc5 crystal, computed with GGA-PBE.

Cell lengths 4.661, 4.661, 8.682 Å; angles 90.00, 90.00, 90.00 degrees
Element x y z (fractional)
Sc 0.500 0.000 0.235
Sc 0.000 0.500 0.765
Sc 0.000 0.500 0.235
Sc 0.500 0.000 0.765
Sc 0.500 0.500 0.500
Mg 0.500 0.500 0.000
Tm 0.000 0.000 0.500

**Symmetry**: P4/mmm (123)
**M_tot**: 0.00 μB per atom
**Mass density**: 3.68 g cm⁻³



Run B
A relaxed TmMgSc5 crystal, computed with GGA-PBE.

Cell lengths 6.232, 6.232, 14.766 Å; angles 53.77, 53.77, 57.75 degrees
Element x y z (fractional)
Mg 0.740 0.260 0.250
Mg 0.260 0.740 0.750
Sc 0.692 0.680 0.508
Sc 0.304 0.316 0.197
Sc 0.308 0.320 0.492
Sc 0.680 0.692 0.008
Sc 0.219 0.781 0.250
Sc 0.320 0.308 0.992
Sc 0.316 0.304 0.697
Sc 0.781 0.219 0.750
Sc 0.684 0.696 0.303
Sc 0.696 0.684 0.803
Tm 0.000 0.000 0.000
Tm 0.000 0.000 0.500

**Symmetry**: C2/c (15)
**M_tot**: 0.00 μB per atom
**Mass density**: 3.88 g cm⁻³



Decreasing stability: run B, run A